Record 1
The following is a GGA-PBEsol calculation of Ca3AsS after structural relaxation, from Alexandria.

Cell and atoms, written as extended XYZ:
```
5
Lattice="-2.135 -3.524 -3.125 0.943 -3.681 3.507 -4.615 0.878 2.163" Properties=species:S:1:pos:R:3 pbc="T T T"
S 0.000 0.000 0.000
As -2.903 -3.164 1.273
Ca 0.472 -1.841 1.754
Ca -2.307 0.439 1.081
Ca -1.068 -1.762 -1.562
```

Summary:
The value obtained for the formation energy (no corrections) is -1.028 eV/atom. As for the symmetry: Pm-3m (221).

---

Record 2
The following is a GGA-PBEsol calculation of CaSb2As after structural relaxation, from Alexandria.

Cell and atoms, written as extended XYZ:
```
4
Lattice="4.325 0.012 0.000 -0.055 4.325 0.000 -2.135 -2.168 5.524" Properties=species:S:1:pos:R:3 pbc="T T T"
Sb 1.095 -1.078 2.762
Sb -1.095 1.078 2.762
As 0.000 0.000 0.000
Ca 2.135 2.168 0.000
```

Summary:
The value obtained for the formation energy (no corrections) is -0.430 eV/atom. As for the symmetry: Fmmm (69).

---

Record 3
The following is a GGA-PBEsol calculation of CaSb2As after structural relaxation, from Alexandria.

Cell and atoms, written as extended XYZ:
```
4
Lattice="4.042 0.000 0.000 0.000 4.687 0.032 0.000 -2.167 5.609" Properties=species:S:1:pos:R:3 pbc="T T T"
Sb 0.000 -0.215 1.437
Sb 0.000 2.735 4.204
As 2.021 1.260 2.820
Ca 2.021 2.344 0.016
```

Summary:
The value obtained for the formation energy (no corrections) is -0.375 eV/atom. As for the symmetry: P2/m (10).

---

Record 4
The following is a GGA-PBEsol calculation of CaSb2As after structural relaxation, from Alexandria.

Cell and atoms, written as extended XYZ:
```
8
Lattice="5.986 0.000 0.000 2.993 5.986 0.000 2.993 0.000 5.986" Properties=species:S:1:pos:R:3 pbc="T T T"
Sb 8.231 5.807 2.814
Sb 2.245 0.178 3.171
Sb 6.735 3.171 5.807
Sb 6.735 2.814 0.178
As 0.000 0.000 0.000
As 7.483 2.993 2.993
Ca 2.993 0.000 0.000
Ca 4.490 2.993 2.993
```

Summary:
The value obtained for the formation energy (no corrections) is -0.327 eV/atom. As for the symmetry: I-42d (122).

---

Record 5
The following is a GGA-PBEsol calculation of CaSbAs after structural relaxation, from Alexandria.

Cell and atoms, written as extended XYZ:
```
3
Lattice="3.894 0.000 0.000 0.000 4.801 0.000 0.000 -2.401 4.158" Properties=species:S:1:pos:R:3 pbc="T T T"
Sb 0.645 2.401 1.386
As 0.653 0.000 0.000
Ca 2.596 0.000 2.772
```

Summary:
The value obtained for the formation energy (no corrections) is -0.473 eV/atom. As for the symmetry: P3m1 (156).

---

Record 6
The following is a GGA-PBEsol calculation of CaSiSb2As after structural relaxation, from Alexandria.

Cell and atoms, written as extended XYZ:
```
5
Lattice="-1.168 -3.583 -3.506 -2.911 -2.783 3.814 -4.550 2.848 -1.395" Properties=species:S:1:pos:R:3 pbc="T T T"
Sb -2.275 1.424 -0.697
Sb -1.455 -1.391 1.907
As -0.584 -1.792 -1.753
Si -4.315 -1.759 -0.543
Ca 0.000 0.000 0.000
```

Summary:
The value obtained for the formation energy (no corrections) is 1.064 eV/atom. As for the symmetry: P4/mmm (123).

---

Record 7
The following is a GGA-PBEsol calculation of CaScAs2 after structural relaxation, from Alexandria.

Cell and atoms, written as extended XYZ:
```
4
Lattice="3.943 0.000 0.000 1.971 3.415 0.000 1.971 1.138 6.710" Properties=species:S:1:pos:R:3 pbc="T T T"
Sc 3.943 2.276 3.355
As 5.914 3.415 4.842
As 1.971 1.138 1.868
Ca 0.000 0.000 0.000
```

Summary:
Its excess energy over the best structure of this formula in the dataset is 0 meV/atom. As for the symmetry: R-3m (166).

---

Record 8
The following is a GGA-PBEsol calculation of CaScAs2 after structural relaxation, from Alexandria.

Cell and atoms, written as extended XYZ:
```
4
Lattice="-3.636 -0.101 -2.147 0.405 -1.642 -4.764 -1.862 -4.634 -0.784" Properties=species:S:1:pos:R:3 pbc="T T T"
Sc -0.728 -3.138 -2.774
As -2.029 -4.656 -4.655
As -3.064 -1.722 -3.040
Ca -1.818 -0.051 -1.074
```

Summary:
Its excess energy over the best structure of this formula in the dataset is 214 meV/atom. As for the symmetry: Immm (71).

---

Record 9
The following is a GGA-PBEsol calculation of CaScAs2 after structural relaxation, from Alexandria.

Cell and atoms, written as extended XYZ:
```
4
Lattice="-0.133 4.798 0.139 -0.850 -2.302 -4.278 -4.463 -0.073 -1.769" Properties=species:S:1:pos:R:3 pbc="T T T"
Sc 0.000 0.000 0.000
As -1.574 0.030 -2.546
As -3.872 2.393 -3.361
Ca -2.298 2.362 -0.815
```

Summary:
Its excess energy over the best structure of this formula in the dataset is 256 meV/atom. As for the symmetry: I4/mmm (139).

---

Record 10
The following is a GGA-PBEsol calculation of Ca2ScAs after structural relaxation, from Alexandria.

Cell and atoms, written as extended XYZ:
```
4
Lattice="-0.914 -3.249 -1.523 2.984 1.084 -4.104 3.405 -1.376 5.393" Properties=species:S:1:pos:R:3 pbc="T T T"
Sc 1.627 -1.410 -2.470
As 3.570 -0.608 -0.845
Ca 4.996 -3.275 -0.513
Ca 1.794 -2.871 0.546
```

Summary:
As for the symmetry: Imm2 (44).

---

Record 11
The following is a GGA-PBEsol calculation of Ca2As2Se after structural relaxation, from Alexandria.

Cell and atoms, written as extended XYZ:
```
5
Lattice="3.799 0.000 0.000 0.000 3.799 0.000 -1.899 -1.899 7.938" Properties=species:S:1:pos:R:3 pbc="T T T"
As 0.000 1.899 3.969
As 1.899 0.000 3.969
Ca 0.000 0.000 6.295
Ca 1.899 1.899 1.643
Se 0.000 0.000 0.000
```

Summary:
The value obtained for the formation energy (no corrections) is -1.155 eV/atom. As for the symmetry: I4/mmm (139).

---

Record 12
The following is a GGA-PBEsol calculation of CaZrAsSe2 after structural relaxation, from Alexandria.

Cell and atoms, written as extended XYZ:
```
5
Lattice="5.148 0.000 0.000 0.000 5.148 0.000 0.000 0.000 5.144" Properties=species:S:1:pos:R:3 pbc="T T T"
As 0.000 0.000 2.572
Ca 2.574 2.574 2.572
Se 0.000 2.574 0.000
Se 2.574 0.000 0.000
Zr 0.000 0.000 0.000
```

Summary:
The value obtained for the formation energy (no corrections) is -0.902 eV/atom. As for the symmetry: P4/mmm (123).

---

Record 13
The following is a GGA-PBEsol calculation of Ca11Si9As16 after structural relaxation, from Alexandria.

Cell and atoms, written as extended XYZ:
```
36
Lattice="-3.305 6.143 -1.145 -0.012 -4.133 -5.859 -15.087 -7.137 5.110" Properties=species:S:1:pos:R:3 pbc="T T T"
Ca -8.507 -5.075 1.337
Ca -2.554 -0.413 -4.580
Ca -9.960 -0.065 -3.211
Ca -15.778 -4.674 2.679
Ca -10.122 -4.073 -2.040
Ca -0.936 -1.396 -1.189
Ca -8.372 -1.072 0.189
Ca -17.421 -3.704 -0.691
Ca -4.464 0.930 -0.922
Ca -4.821 -3.098 0.326
Ca -13.921 -6.051 -0.947
Si -5.148 1.789 -5.071
Si -11.299 -2.077 1.363
Si -13.207 -6.891 3.194
Si -7.178 -3.025 -3.253
Si -14.492 -1.055 0.937
Si -5.837 -1.121 -3.342
Si -3.904 -4.067 -2.866
Si -12.571 -4.025 1.425
Si -13.502 -2.138 -2.397
As -12.810 -4.554 3.733
As -5.675 -4.537 -4.380
As -5.407 -0.553 -5.600
As -12.812 -0.514 2.543
As -9.393 -6.709 -3.193
As -1.736 -2.976 -5.806
As -9.158 -2.659 -4.431
As -16.634 -2.137 3.921
As -11.252 -5.684 0.253
As -3.855 -1.780 -2.182
As -7.148 0.513 -2.197
As -14.504 -3.312 0.209
As -11.137 -1.549 -0.929
As -3.509 2.110 -3.428
As -7.401 -3.578 -0.987
As -14.870 -7.212 1.566
```

Summary:
The value obtained for the formation energy (no corrections) is -0.733 eV/atom. As for the symmetry: P1 (1).

---

Record 14
The following is a GGA-PBEsol calculation of Ca2SiAs after structural relaxation, from Alexandria.

Cell and atoms, written as extended XYZ:
```
4
Lattice="-1.765 2.145 -2.427 -1.381 -3.720 -2.284 -2.827 0.573 5.365" Properties=species:S:1:pos:R:3 pbc="T T T"
As -3.412 0.949 0.517
Ca -0.085 -0.004 0.058
Ca -2.819 -1.964 0.314
Si -4.056 -0.198 2.774
```

Summary:
The value obtained for the formation energy (no corrections) is -0.615 eV/atom. As for the symmetry: Imm2 (44).

---

Record 15
The following is a GGA-PBEsol calculation of CaSn2As2 after structural relaxation, from Alexandria.

Cell and atoms, written as extended XYZ:
```
5
Lattice="4.162 0.000 0.000 0.000 4.162 0.000 -2.081 -2.081 7.406" Properties=species:S:1:pos:R:3 pbc="T T T"
As 0.000 2.081 3.703
As 2.081 0.000 3.703
Ca 0.000 0.000 0.000
Sn 0.000 0.000 5.801
Sn 2.081 2.081 1.605
```

Summary:
As for the symmetry: I4/mmm (139).

---

Record 16
The following is a GGA-PBEsol calculation of Sr3CaAs after structural relaxation, from Alexandria.

Cell and atoms, written as extended XYZ:
```
5
Lattice="6.053 0.000 0.000 0.000 6.053 0.000 0.000 0.000 6.053" Properties=species:S:1:pos:R:3 pbc="T T T"
Sr 0.000 3.027 0.000
Sr 0.000 0.000 3.027
Sr 3.027 0.000 0.000
As 0.000 0.000 0.000
Ca 3.027 3.027 3.027
```

Summary:
As for the symmetry: Pm-3m (221).

---

Record 17
The following is a GGA-PBEsol calculation of SrCaAs after structural relaxation, from Alexandria.

Cell and atoms, written as extended XYZ:
```
3
Lattice="5.055 0.000 0.000 2.528 4.378 0.000 2.528 1.459 4.128" Properties=species:S:1:pos:R:3 pbc="T T T"
Sr 5.055 2.919 2.064
As 2.528 1.459 1.032
Ca 0.000 0.000 0.000
```

Summary:
As for the symmetry: F-43m (216).

---

Record 18
The following is a GGA-PBEsol calculation of CaTa2As2 after structural relaxation, from Alexandria.

Cell and atoms, written as extended XYZ:
```
5
Lattice="-3.491 1.286 -3.187 2.250 -5.017 -0.724 -2.715 -3.816 1.435" Properties=species:S:1:pos:R:3 pbc="T T T"
As -3.529 -4.406 -1.676
As -0.426 -3.141 -0.800
Ca 0.000 0.000 0.000
Ta -2.566 -1.976 -1.751
Ta -1.390 -5.571 -0.725
```

Summary:
As for the symmetry: I4/mmm (139).

---

Record 19
The following is a GGA-PBEsol calculation of CaTa3As after structural relaxation, from Alexandria.

Cell and atoms, written as extended XYZ:
```
5
Lattice="4.671 0.000 0.000 0.000 4.671 0.000 0.000 0.000 4.671" Properties=species:S:1:pos:R:3 pbc="T T T"
As 2.336 2.336 2.336
Ca 0.000 0.000 0.000
Ta 0.000 2.336 0.000
Ta 0.000 0.000 2.336
Ta 2.336 0.000 0.000
```

Summary:
As for the symmetry: Pm-3m (221).

---

Record 20
The following is a GGA-PBEsol calculation of Ca2TcTeAs after structural relaxation, from Alexandria.

Cell and atoms, written as extended XYZ:
```
5
Lattice="-2.601 -3.955 -1.095 2.275 -0.146 -4.880 3.940 -3.126 1.930" Properties=species:S:1:pos:R:3 pbc="T T T"
As 1.807 -3.613 -2.022
Te -1.301 -1.977 -0.547
Tc 0.000 0.000 0.000
Ca 1.970 -1.563 0.965
Ca 1.138 -0.073 -2.440
```

Summary:
The value obtained for the formation energy (no corrections) is 0.178 eV/atom. As for the symmetry: P4/mmm (123).

---

no.,calculated total energy (eV for the cell shown),DOS(E_F) (states/eV per atom)
1,-21.0,0.712
2,-18.1,0.421
3,-17.9,0.467
4,-35.3,0.512
5,-13.2,0.494
6,-16.8,0.883
7,-23.5,0.589
8,-22.6,0.485
9,-22.5,0.580
10,-18.2,0.426
11,-24.1,0.302
12,-28.5,0.556
13,-183.3,0.000
14,-17.6,0.410
15,-21.1,0.516
16,-15.0,1.141
17,-11.8,0.460
18,-38.6,0.147
19,-32.1,0.882
20,-23.3,1.165